Entry 1:
NaCaW3, single point on PBEsol structure, DFT meta-GGA SCAN; magnetization = 0.00 μB per cell; ΔE_f = 3044 meV/atom; space group = Pm-3m, No. 221
1.0
4.6480 0.0000 0.0000
0.0000 4.6480 0.0000
0.0000 0.0000 4.6480
Na Ca W
1 1 3
Direct
0.0000 0.0000 0.0000
0.5000 0.5000 0.5000
0.0000 0.5000 0.0000
0.0000 0.0000 0.5000
0.5000 0.0000 0.0000

Entry 2:
NaCa2Y, single point on PBEsol structure, DFT meta-GGA SCAN; magnetization = 0.01 μB per cell; ΔE_f = 279 meV/atom; space group = Fm-3m, No. 225
1.0
5.8874 0.0000 0.0000
2.9437 5.0986 0.0000
2.9437 1.6995 4.8070
Y Na Ca
1 1 2
Direct
0.5000 0.5000 0.5000
0.0000 0.0000 0.0000
0.2500 0.2500 0.2500
0.7500 0.7500 0.7500

Entry 3:
NaCaZn2, single point on PBEsol structure, DFT meta-GGA SCAN; magnetization = 0.00 μB per cell; ΔE_f = -36 meV/atom; space group = Fm-3m, No. 225
1.0
5.0438 0.0000 0.0000
2.5219 4.3680 0.0000
2.5219 1.4560 4.1182
Na Zn Ca
1 2 1
Direct
0.0000 0.0000 0.0000
0.2500 0.2500 0.2500
0.7500 0.7500 0.7500
0.5000 0.5000 0.5000

Entry 4:
NaCa2Zn2, single point on PBEsol structure, DFT meta-GGA SCAN; magnetization = 0.06 μB per cell; ΔE_f = 36 meV/atom; space group = I4/mmm, No. 139
1.0
3.7179 0.0000 0.0000
0.0000 3.7179 0.0000
-1.8590 -1.8590 10.5520
Na Zn Ca
1 2 2
Direct
0.0000 0.0000 0.0000
0.2500 0.7500 0.5000
0.7500 0.2500 0.5000
0.3686 0.3686 0.7371
0.6314 0.6314 0.2629

Entry 5:
NaCa2Zn2, single point on PBEsol structure, DFT meta-GGA SCAN; magnetization = 0.00 μB per cell; ΔE_f = -170 meV/atom; space group = P4/mbm, No. 127
1.0
4.1855 0.0000 0.0000
0.0000 7.9531 0.0000
0.0000 0.0000 7.9531
Na Zn Ca
2 4 4
Direct
0.0000 0.0000 0.0000
0.0000 0.5000 0.5000
0.0000 0.3842 0.8842
0.0000 0.8842 0.6158
0.0000 0.6158 0.1158
0.0000 0.1158 0.3842
0.5000 0.1715 0.6715
0.5000 0.6715 0.8285
0.5000 0.8285 0.3285
0.5000 0.3285 0.1715

Entry 6:
Ca2NbNi, single point on PBEsol structure, DFT meta-GGA SCAN; magnetization = 3.80 μB per cell; ΔE_f = 691 meV/atom; space group = Fm-3m, No. 225
1.0
-4.6851 -0.3255 1.7214
-0.8441 -1.5742 4.6721
-1.6190 3.2188 3.4696
Ni Nb Ca
1 1 2
Direct
0.0000 0.0000 0.0000
0.5000 0.5000 0.5000
0.2500 0.2500 0.2500
0.7500 0.7500 0.7500

Entry 7:
CaNb2Ni2, single point on PBEsol structure, DFT meta-GGA SCAN; magnetization = 0.00 μB per cell; ΔE_f = 95 meV/atom; space group = I4/mmm, No. 139
1.0
-1.6155 3.5083 -1.0976
0.1556 -1.1326 -3.8491
-4.3271 -3.3788 2.9136
Ni Nb Ca
2 2 1
Direct
0.3948 0.3948 0.7896
0.6052 0.6052 0.2104
0.2500 0.7500 0.5000
0.7500 0.2500 0.5000
0.0000 0.0000 0.0000

Entry 8:
CaNb4O8, single point on PBEsol structure, DFT meta-GGA SCAN; magnetization = 0.00 μB per cell; energy relative to the elements, uncorrected = -63.80 kcal/mol of atoms; space group = Pmmn, No. 59
1.0
7.1533 0.0000 0.0000
0.0000 10.3215 0.0000
0.0000 0.0000 13.0809
Ca Nb O
6 24 48
Direct
0.5000 0.0000 0.5047
0.0000 0.5000 0.7468
0.0000 0.5000 0.0205
0.5000 0.0000 0.9795
0.0000 0.5000 0.4953
0.5000 0.0000 0.2532
0.2294 0.2183 0.6267
0.2294 0.7817 0.6267
0.0000 0.0000 0.7291
0.7269 0.2832 0.8744
0.2731 0.2832 0.8744
0.5000 0.5000 0.9768
0.2269 0.2168 0.1256
0.2269 0.7832 0.1256
0.0000 0.0000 0.2230
0.5000 0.5000 0.2709
0.2706 0.7183 0.3733
0.7294 0.7183 0.3733
0.7294 0.2817 0.3733
0.2706 0.2817 0.3733
0.5000 0.5000 0.4719
0.0000 0.0000 0.5281
0.7706 0.2183 0.6267
0.7706 0.7817 0.6267
0.5000 0.5000 0.7770
0.2731 0.7168 0.8744
0.7269 0.7168 0.8744
0.0000 0.0000 0.0232
0.7731 0.2168 0.1256
0.7731 0.7832 0.1256
0.0000 0.6739 0.1239
0.1994 0.8694 0.2646
0.0000 0.6686 0.3779
0.1986 0.8679 0.4877
0.5000 0.1686 0.6221
0.0000 0.6663 0.6238
0.6994 0.3694 0.7354
0.1867 0.1408 0.7654
0.1867 0.8592 0.7654
0.5000 0.1739 0.8761
0.0000 0.6546 0.8789
0.1960 0.1343 0.9848
0.1960 0.8657 0.9848
0.3040 0.3657 0.0152
0.6960 0.3657 0.0152
0.5000 0.1546 0.1211
0.3133 0.6408 0.2346
0.6867 0.6408 0.2346
0.3133 0.3592 0.2346
0.6867 0.3592 0.2346
0.8006 0.8694 0.2646
0.1994 0.1306 0.2646
0.5000 0.8337 0.3762
0.5000 0.1663 0.3762
0.8014 0.8679 0.4877
0.1986 0.1321 0.4877
0.3014 0.6321 0.5123
0.6986 0.6321 0.5123
0.3014 0.3679 0.5123
0.6986 0.3679 0.5123
0.5000 0.8314 0.6221
0.3006 0.6306 0.7354
0.6994 0.6306 0.7354
0.8133 0.1408 0.7654
0.3006 0.3694 0.7354
0.8133 0.8592 0.7654
0.0000 0.3454 0.8789
0.5000 0.8261 0.8761
0.8040 0.1343 0.9848
0.8040 0.8657 0.9848
0.3040 0.6343 0.0152
0.6960 0.6343 0.0152
0.0000 0.3261 0.1239
0.5000 0.8454 0.1211
0.8006 0.1306 0.2646
0.0000 0.3314 0.3779
0.8014 0.1321 0.4877
0.0000 0.3337 0.6238

Entry 9:
Ca4Nb2O9, single point on PBEsol structure, DFT meta-GGA SCAN; magnetization = 0.17 μB per cell; energy relative to the elements, uncorrected = -72.82 kcal/mol of atoms; space group = P-1, No. 2
1.0
-0.6386 -5.0107 -6.2166
8.6158 -2.2803 -3.9435
4.3911 -8.4966 6.0028
Ca Nb O
16 8 36
Direct
0.6631 0.6703 0.8347
0.5441 0.3722 0.8981
0.3040 0.9886 0.7560
0.3369 0.3297 0.1653
0.0328 0.3660 0.9117
0.2284 0.0121 0.2294
0.0000 0.0000 0.0000
0.7716 0.9879 0.7706
0.9672 0.6340 0.0883
0.0000 0.0000 0.5000
0.6960 0.0114 0.2440
0.8834 0.6880 0.5627
0.4559 0.6278 0.1019
0.6293 0.3118 0.4322
0.3707 0.6882 0.5678
0.1166 0.3120 0.4373
0.3388 0.3403 0.6652
0.1639 0.6839 0.8257
0.8487 0.3264 0.6731
0.8361 0.3161 0.1743
0.5000 0.0000 0.0000
0.6612 0.6597 0.3348
0.5000 0.0000 0.5000
0.1513 0.6736 0.3269
0.4103 0.6478 0.7754
0.2447 0.4370 0.7909
0.6178 0.8886 0.6738
0.4714 0.1315 0.8095
0.1132 0.2631 0.6732
0.8121 0.5140 0.7159
0.4857 0.8297 0.9455
0.2301 0.0897 0.0017
0.0536 0.3536 0.1162
0.8322 0.2197 0.8414
0.7162 0.4512 0.0003
0.0915 0.8872 0.8433
0.9085 0.1128 0.1567
0.2838 0.5488 0.9997
0.1678 0.7803 0.1586
0.9464 0.6464 0.8838
0.7699 0.9103 0.9983
0.5143 0.1703 0.0545
0.1879 0.4860 0.2841
0.8868 0.7369 0.3268
0.7284 0.0121 0.4415
0.5286 0.8685 0.1905
0.3822 0.1114 0.3262
0.7553 0.5630 0.2091
0.5791 0.7891 0.4590
0.9333 0.2359 0.3502
0.8112 0.4760 0.4792
0.5897 0.3522 0.2246
0.4578 0.5993 0.3539
0.1619 0.8354 0.3908
0.8381 0.1646 0.6092
0.5422 0.4007 0.6461
0.1888 0.5240 0.5208
0.0667 0.7641 0.6498
0.4209 0.2109 0.5410
0.2716 0.9879 0.5585

Entry 10:
CaNb4O8, single point on PBEsol structure, DFT meta-GGA SCAN; magnetization = 0.00 μB per cell; energy relative to the elements, uncorrected = -63.81 kcal/mol of atoms; space group = Cm, No. 8
1.0
7.0797 -0.0030 -0.0127
-0.4415 7.0659 -0.0127
-0.5713 -0.6079 9.6512
Ca Nb O
3 12 24
Direct
0.1267 0.1267 0.1288
0.8525 0.8525 0.8535
0.3810 0.3810 0.3785
0.8502 0.8502 0.3529
0.3537 0.3537 0.8512
0.1523 0.1523 0.6510
0.6504 0.6504 0.1516
0.1504 0.5828 0.6368
0.6445 0.0811 0.1362
0.0811 0.6445 0.1362
0.5828 0.1504 0.6368
0.9179 0.3515 0.8613
0.4206 0.8565 0.3679
0.8565 0.4206 0.3679
0.3515 0.9179 0.8613
0.6591 0.9383 0.4833
0.1552 0.4205 0.9885
0.1427 0.8793 0.7080
0.6471 0.3792 0.2110
0.0813 0.3432 0.5114
0.5727 0.8418 0.0127
0.1208 0.8569 0.2878
0.6232 0.3423 0.7994
0.3432 0.0813 0.5114
0.8418 0.5727 0.0127
0.8569 0.1208 0.2878
0.3423 0.6232 0.7994
0.9383 0.6591 0.4833
0.4205 0.1552 0.9885
0.8793 0.1427 0.7080
0.3792 0.6471 0.2110
0.6667 0.3335 0.4973
0.1510 0.8405 0.9984
0.3335 0.6667 0.4973
0.8405 0.1510 0.9984
0.9238 0.5749 0.7498
0.4171 0.0860 0.2510
0.0860 0.4171 0.2510
0.5749 0.9238 0.7498

Entry 11:
CaNb2O4, single point on PBEsol structure, DFT meta-GGA SCAN; magnetization = 0.00 μB per cell; energy relative to the elements, uncorrected = -65.74 kcal/mol of atoms; space group = Pbcm, No. 57
1.0
-1.6110 -4.7294 0.8288
3.0356 -1.8486 -4.6482
9.4067 -1.9890 6.9342
Ca Nb O
4 8 16
Direct
0.3094 0.7500 0.4957
0.3094 0.2500 0.0043
0.6906 0.2500 0.5043
0.6906 0.7500 0.9957
0.1558 0.0000 0.2500
0.8442 0.5000 0.7500
0.8442 0.0000 0.7500
0.1558 0.5000 0.2500
0.3409 0.2500 0.7464
0.3409 0.7500 0.7536
0.6591 0.7500 0.2536
0.6591 0.2500 0.2464
0.0143 0.2500 0.8576
0.0143 0.7500 0.6424
0.9857 0.7500 0.1424
0.9857 0.2500 0.3576
0.0066 0.2500 0.6391
0.0066 0.7500 0.8609
0.9934 0.7500 0.3609
0.9934 0.2500 0.1391
0.4923 0.0048 0.3630
0.4923 0.9952 0.1370
0.5077 0.5048 0.6370
0.5077 0.4952 0.8630
0.4923 0.5048 0.1370
0.4923 0.4952 0.3630
0.5077 0.0048 0.8630
0.5077 0.9952 0.6370

Entry 12:
Ca2Nb2O, single point on PBEsol structure, DFT meta-GGA SCAN; magnetization = 0.00 μB per cell; energy relative to the elements, uncorrected = 31.17 kcal/mol of atoms; space group = I4/mmm, No. 139
1.0
-0.1447 -3.5749 -0.9675
2.9243 0.4838 -2.2251
3.3743 -0.2370 7.4700
Nb Ca O
2 2 1
Direct
0.4300 0.4300 0.8600
0.5700 0.5700 0.1400
0.2500 0.7500 0.5000
0.7500 0.2500 0.5000
0.0000 0.0000 0.0000

Entry 13:
Ca4Nb2O9, single point on PBEsol structure, DFT meta-GGA SCAN; magnetization = 0.00 μB per cell; energy relative to the elements, uncorrected = -72.82 kcal/mol of atoms; space group = P1, No. 1
1.0
-3.4028 4.0733 -5.9711
-5.8232 -5.5522 -5.5192
-10.1079 -0.4514 5.0446
Ca Nb O
16 8 36
Direct
0.8399 0.8272 0.1669
0.7013 0.5220 0.2397
0.2234 0.5313 0.2150
0.4935 0.5088 0.4986
0.4673 0.1245 0.0984
0.9453 0.1527 0.0978
0.1698 0.1653 0.3323
0.3898 0.1754 0.5664
0.8681 0.2043 0.5548
0.1670 0.1655 0.8316
0.1030 0.8066 0.4486
0.6336 0.8127 0.4230
0.0465 0.8391 0.9029
0.5461 0.8612 0.9035
0.7918 0.4646 0.7655
0.2977 0.4781 0.7602
0.0028 0.4840 0.0013
0.3204 0.8359 0.1741
0.6554 0.1793 0.3265
0.0130 0.4962 0.4909
0.3131 0.8458 0.6651
0.8195 0.8332 0.6696
0.6729 0.1634 0.8292
0.4954 0.5042 0.9892
0.7837 0.4319 0.0052
0.4872 0.6682 0.0559
0.1156 0.8096 0.1036
0.3895 0.6265 0.2969
0.5150 0.3647 0.1815
0.7541 0.0568 0.2121
0.9222 0.5945 0.1244
0.1542 0.2898 0.1207
0.3073 0.0101 0.0255
0.4748 0.0848 0.3651
0.5643 0.8260 0.2218
0.1586 0.3722 0.3956
0.1738 0.9612 0.2690
0.7670 0.5115 0.4411
0.8640 0.2412 0.3207
0.0214 0.3232 0.6382
0.1806 0.0433 0.5454
0.4180 0.7412 0.5427
0.5779 0.2759 0.4604
0.8215 0.9666 0.4984
0.9410 0.7083 0.3690
0.1149 0.7708 0.6870
0.2145 0.5285 0.5586
0.8130 0.0236 0.7310
0.8483 0.6608 0.6135
0.4339 0.1756 0.7704
0.5546 0.9009 0.6676
0.6940 0.9829 0.9759
0.8583 0.7130 0.8541
0.0790 0.4098 0.8592
0.2623 0.9215 0.8085
0.4843 0.6193 0.8151
0.6239 0.3619 0.6946
0.8945 0.1720 0.8939
0.5286 0.3120 0.9418
0.2282 0.5586 0.9845

Entry 14:
Ca2ScNbO6, single point on PBEsol structure, DFT meta-GGA SCAN; magnetization = 0.00 μB per cell; energy relative to the elements, uncorrected = -77.99 kcal/mol of atoms; space group = P2_1/c, No. 14
1.0
-1.8034 4.9040 1.6395
-3.8734 -2.5191 3.2741
5.1038 -0.1052 5.9570
Ca Sc Nb O
4 2 2 12
Direct
0.9861 0.4465 0.2483
0.0139 0.5535 0.7517
0.5139 0.9465 0.2517
0.4861 0.0535 0.7483
0.0000 0.0000 0.0000
0.5000 0.5000 0.5000
0.0000 0.0000 0.5000
0.5000 0.5000 0.0000
0.1016 0.0359 0.2557
0.8984 0.9641 0.7443
0.3984 0.5359 0.2443
0.6016 0.4641 0.7557
0.7945 0.6967 0.0515
0.2055 0.3033 0.9485
0.7055 0.1967 0.4485
0.2945 0.8033 0.5515
0.6940 0.2083 0.0561
0.3060 0.7917 0.9439
0.8060 0.7083 0.4439
0.1940 0.2917 0.5561